Entry 1:
Below is a relaxed Pm3Se3N crystal, with properties calculated at the PBE-GGA level.

Cell: 7.413 7.413 7.293 Å, 96.40 96.40 112.99°
Fractional positions:
N 0.177 0.177 0.140
Pm 0.545 0.839 0.723
Se 0.252 0.748 0.000
Se 0.613 0.613 0.354
Pm 0.099 0.099 0.817
Pm 0.161 0.455 0.277
Pm 0.901 0.901 0.183
Pm 0.455 0.161 0.277
Se 0.834 0.166 0.500
Se 0.166 0.834 0.500
Se 0.387 0.387 0.646
N 0.823 0.823 0.860
Se 0.748 0.252 0.000
Pm 0.839 0.545 0.723

Properties
energy relative to the elements, uncorrected	-169.4	kJ/mol of atoms
calculated density	6.3	Mg/m³
energy relative to the lowest polymorph listed for this composition	63	meV/atom
symmetry	C2/m, No. 12
uncorrected energy	-90.6	eV per cell

***

Entry 2:
Below is a relaxed Pm2SeN crystal, with properties calculated at the PBE-GGA level.

Cell: 3.728 3.728 7.410 Å, 75.43 75.43 60.00°
Fractional positions:
Pm 0.241 0.241 0.278
N 0.495 0.495 0.516
Se 0.668 0.668 0.996
Pm 0.097 0.097 0.710

Properties
energy relative to the elements, uncorrected	-127.4	kJ/mol of atoms
calculated density	7.5	Mg/m³
energy relative to the lowest polymorph listed for this composition	319	meV/atom
symmetry	R3m, No. 160
uncorrected energy	-26.6	eV per cell

***

Entry 3:
Below is a relaxed Pm4Se3N2 crystal, with properties calculated at the PBE-GGA level.

Cell: 4.059 7.164 8.393 Å, 86.16 76.01 73.54°
Fractional positions:
Pm 0.886 0.868 0.361
N 0.288 0.062 0.362
N 0.712 0.938 0.638
Pm 0.292 0.266 0.149
Se 0.393 0.444 0.771
Se 0.607 0.556 0.229
Pm 0.114 0.132 0.639
Pm 0.708 0.734 0.851
Se 0.000 0.000 0.000

Properties
energy relative to the elements, uncorrected	-170.5	kJ/mol of atoms
calculated density	6.2	Mg/m³
symmetry	C2/m, No. 12
uncorrected energy	-62.0	eV per cell

***

Entry 4:
Below is a relaxed PmSeN crystal, with properties calculated at the PBE-GGA level.

Cell: 7.249 6.233 7.222 Å, 90.00 90.00 125.56°
Fractional positions:
Pm 0.873 0.247 0.250
N 0.038 0.076 0.066
Se 0.344 0.689 0.089
Se 0.844 0.689 0.411
Pm 0.127 0.753 0.750
Pm 0.627 0.753 0.750
N 0.538 0.076 0.434
N 0.462 0.924 0.566
N 0.962 0.924 0.934
Se 0.656 0.311 0.911
Pm 0.373 0.247 0.250
Se 0.156 0.311 0.589

Properties
energy relative to the elements, uncorrected	-102.2	kJ/mol of atoms
calculated density	6.0	Mg/m³
energy relative to the lowest polymorph listed for this composition	141	meV/atom
symmetry	Cmce, No. 64
uncorrected energy	-79.0	eV per cell

***

Entry 5:
Below is a relaxed Pm3Se2N crystal, with properties calculated at the PBE-GGA level.

Cell: 3.848 3.848 21.419 Å, 90.00 90.00 120.00°
Fractional positions:
Pm 0.667 0.333 0.821
Se 0.667 0.333 0.089
N 0.000 0.000 0.250
Pm 0.000 0.000 0.000
Se 0.333 0.667 0.589
Pm 0.333 0.667 0.179
Se 0.333 0.667 0.911
Pm 0.333 0.667 0.321
Pm 0.667 0.333 0.679
Se 0.667 0.333 0.411
N 0.000 0.000 0.750
Pm 0.000 0.000 0.500

Properties
energy relative to the elements, uncorrected	-141.9	kJ/mol of atoms
calculated density	7.3	Mg/m³
energy relative to the lowest polymorph listed for this composition	168	meV/atom
symmetry	P6_3/mmc, No. 194
uncorrected energy	-76.7	eV per cell

***

Entry 6:
Below is a relaxed PmSmSeN crystal, with properties calculated at the PBE-GGA level.

Cell: 3.782 3.782 7.061 Å, 74.47 74.47 60.00°
Fractional positions:
Pm 0.984 0.984 0.049
Se 0.751 0.751 0.748
Sm 0.516 0.516 0.451
N 0.249 0.249 0.253

Properties
energy relative to the elements, uncorrected	-158.7	kJ/mol of atoms
calculated density	7.8	Mg/m³
symmetry	R3m, No. 160
uncorrected energy	-27.9	eV per cell

***

Entry 7:
Below is a relaxed TbPmSeN crystal, with properties calculated at the PBE-GGA level.

Cell: 3.738 3.738 6.996 Å, 74.50 74.50 60.00°
Fractional positions:
N 0.246 0.246 0.261
Tb 0.517 0.517 0.449
Pm 0.984 0.984 0.048
Se 0.753 0.753 0.742

Properties
energy relative to the elements, uncorrected	-161.4	kJ/mol of atoms
calculated density	8.2	Mg/m³
symmetry	R3m, No. 160
uncorrected energy	-27.9	eV per cell

***

Entry 8:
Below is a relaxed Pm3TeSeN crystal, with properties calculated at the PBE-GGA level.

Cell: 4.118 8.974 9.397 Å, 98.32 90.00 90.00°
Fractional positions:
N 0.250 0.089 0.598
Pm 0.250 0.580 0.864
Pm 0.250 0.119 0.839
Pm 0.250 0.842 0.496
Pm 0.750 0.881 0.161
Te 0.250 0.170 0.205
Pm 0.750 0.420 0.136
Te 0.750 0.830 0.795
Se 0.750 0.349 0.820
Pm 0.750 0.158 0.504
N 0.750 0.911 0.402
Se 0.250 0.651 0.180

Properties
energy relative to the elements, uncorrected	-143.5	kJ/mol of atoms
calculated density	6.3	Mg/m³
symmetry	P2_1/m, No. 11
uncorrected energy	-76.3	eV per cell

***

Entry 9:
Below is a relaxed Pm8Te4Se3N crystal, with properties calculated at the PBE-GGA level.

Cell: 8.456 8.646 8.455 Å, 119.27 120.00 90.00°
Fractional positions:
Se 0.500 0.500 0.000
Se 0.500 0.500 0.500
Pm 0.216 0.702 0.987
N 0.000 0.500 0.000
Pm 0.216 0.703 0.431
Te 0.500 0.000 0.000
Pm 0.784 0.297 0.569
Te 0.500 0.000 0.500
Se 0.000 0.500 0.500
Pm 0.229 0.298 0.013
Te 0.000 0.000 0.000
Pm 0.259 0.278 0.519
Pm 0.784 0.298 0.013
Pm 0.741 0.722 0.481
Te 0.000 0.000 0.500
Pm 0.771 0.702 0.987

Properties
energy relative to the elements, uncorrected	-149.9	kJ/mol of atoms
calculated density	7.2	Mg/m³
symmetry	R-3m, No. 166
uncorrected energy	-94.2	eV per cell

***

Entry 10:
Below is a relaxed PmThSeN crystal, with properties calculated at the PBE-GGA level.

Cell: 3.814 3.814 7.147 Å, 74.52 74.52 60.00°
Fractional positions:
Th 0.981 0.981 0.058
Pm 0.516 0.516 0.451
Se 0.749 0.749 0.752
N 0.254 0.254 0.239

Properties
energy relative to the elements, uncorrected	-155.3	kJ/mol of atoms
calculated density	9.1	Mg/m³
symmetry	R3m, No. 160
uncorrected energy	-30.4	eV per cell

***

Entry 11:
Below is a relaxed PmThSe2N crystal, with properties calculated at the PBE-GGA level.

Cell: 4.110 4.110 14.946 Å, 90.00 90.00 90.00°
Fractional positions:
N 0.500 0.500 0.500
Th 0.500 0.000 0.578
Se 0.000 0.500 0.090
Se 0.500 0.000 0.910
Pm 0.500 0.000 0.126
Se 0.000 0.500 0.692
Se 0.500 0.000 0.308
Th 0.000 0.500 0.422
Pm 0.000 0.500 0.874
N 0.000 0.000 0.500

Properties
energy relative to the elements, uncorrected	-178.3	kJ/mol of atoms
calculated density	7.2	Mg/m³
symmetry	P4/nmm, No. 129
uncorrected energy	-73.4	eV per cell

***

Entry 12:
Below is a relaxed PmUSeN2 crystal, with properties calculated at the PBE-GGA level.

Cell: 3.865 3.865 6.785 Å, 106.55 106.55 90.00°
Fractional positions:
Se 0.505 0.505 0.011
N 0.241 0.741 0.482
U 0.163 0.163 0.325
Pm 0.851 0.851 0.701
N 0.741 0.241 0.482

Properties
energy relative to the elements, uncorrected	-149.2	kJ/mol of atoms
calculated density	8.8	Mg/m³
symmetry	I4mm, No. 107
uncorrected energy	-43.9	eV per cell

***

Entry 13:
Below is a relaxed PmUSe2N crystal, with properties calculated at the PBE-GGA level.

Cell: 3.952 3.952 14.935 Å, 90.00 90.00 90.00°
Fractional positions:
Se 0.500 0.000 0.914
Se 0.000 0.500 0.086
U 0.500 0.000 0.576
Pm 0.000 0.500 0.870
U 0.000 0.500 0.424
Se 0.000 0.500 0.681
Pm 0.500 0.000 0.130
N 0.000 0.000 0.500
Se 0.500 0.000 0.319
N 0.500 0.500 0.500

Properties
energy relative to the elements, uncorrected	-154.5	kJ/mol of atoms
calculated density	7.9	Mg/m³
symmetry	P4/nmm, No. 129
uncorrected energy	-78.7	eV per cell

***

Entry 14:
Below is a relaxed PmYSeN crystal, with properties calculated at the PBE-GGA level.

Cell: 3.732 3.732 6.984 Å, 74.50 74.50 60.00°
Fractional positions:
Se 0.753 0.753 0.741
Pm 0.984 0.984 0.049
N 0.246 0.246 0.262
Y 0.517 0.517 0.449

Properties
energy relative to the elements, uncorrected	-161.4	kJ/mol of atoms
calculated density	6.8	Mg/m³
symmetry	R3m, No. 160
uncorrected energy	-29.7	eV per cell

***

Entry 15:
Below is a relaxed Pm2ZrSe2N2 crystal, with properties calculated at the PBE-GGA level.

Cell: 4.269 4.269 8.143 Å, 105.20 105.20 90.00°
Fractional positions:
Pm 0.612 0.612 0.224
Zr 0.000 0.000 0.000
Pm 0.388 0.388 0.776
Se 0.818 0.818 0.637
Se 0.182 0.182 0.363
N 0.500 0.000 0.000
N 0.000 0.500 0.000

Properties
energy relative to the elements, uncorrected	-156.9	kJ/mol of atoms
calculated density	6.8	Mg/m³
symmetry	I4/mmm, No. 139
uncorrected energy	-53.1	eV per cell

***

Entry 16:
Below is a relaxed Pm4SiN5 crystal, with properties calculated at the PBE-GGA level.

Cell: 5.154 5.988 5.988 Å, 79.33 64.51 64.51°
Fractional positions:
Si 0.070 0.000 0.000
N 0.255 0.831 0.655
N 0.910 0.345 0.831
N 0.740 0.169 0.345
N 0.411 0.000 0.000
Pm 0.211 0.197 0.399
Pm 0.611 0.601 0.197
Pm 0.409 0.399 0.803
Pm 0.808 0.803 0.601
N 0.086 0.655 0.169

Properties
energy relative to the elements, uncorrected	-98.2	kJ/mol of atoms
calculated density	7.5	Mg/m³
symmetry	I4, No. 79
uncorrected energy	-76.2	eV per cell

***

Entry 17:
Below is a relaxed Pm6SiN4 crystal, with properties calculated at the PBE-GGA level.

Cell: 3.696 6.358 19.043 Å, 90.00 90.00 106.90°
Fractional positions:
Si 0.336 0.671 0.750
Pm 0.777 0.555 0.078
N 0.587 0.174 0.622
Pm 0.500 0.000 0.500
Pm 0.348 0.696 0.250
N 0.139 0.277 0.460
N 0.413 0.826 0.378
Pm 0.223 0.445 0.922
N 0.861 0.723 0.540
N 0.587 0.174 0.878
Si 0.664 0.329 0.250
N 0.413 0.826 0.122
N 0.861 0.723 0.960
Pm 0.223 0.445 0.578
Pm 0.959 0.917 0.650
Pm 0.500 0.000 0.000
Pm 0.652 0.304 0.750
Pm 0.959 0.917 0.850
Pm 0.041 0.083 0.150
Pm 0.777 0.555 0.422
N 0.139 0.277 0.040
Pm 0.041 0.083 0.350

Properties
energy relative to the elements, uncorrected	-114.8	kJ/mol of atoms
calculated density	7.4	Mg/m³
symmetry	Cmcm, No. 63
uncorrected energy	-160.6	eV per cell

***

Entry 18:
Below is a relaxed PmSiN2 crystal, with properties calculated at the PBE-GGA level.

Cell: 3.771 3.771 6.078 Å, 71.93 71.93 60.00°
Fractional positions:
Pm 0.500 0.500 0.500
N 0.097 0.097 0.709
Si 0.000 0.000 0.000
N 0.903 0.903 0.291

Properties
energy relative to the elements, uncorrected	-67.4	kJ/mol of atoms
calculated density	4.8	Mg/m³
energy relative to the lowest polymorph listed for this composition	175	meV/atom
symmetry	R-3m, No. 166
uncorrected energy	-29.6	eV per cell

***

Entry 19:
Below is a relaxed Pm12Si5N2 crystal, with properties calculated at the PBE-GGA level.

Cell: 7.393 9.092 9.028 Å, 104.64 90.00 113.99°
Fractional positions:
Pm 0.604 0.699 0.427
Pm 0.095 0.699 0.427
Pm 0.396 0.301 0.573
Pm 0.909 0.315 0.081
Pm 0.498 0.996 0.804
Si 0.000 0.000 0.500
Pm 0.406 0.315 0.081
Pm 0.091 0.685 0.919
Pm 0.996 0.993 0.177
Si 0.692 0.383 0.348
Si 0.682 0.363 0.839
Si 0.308 0.617 0.652
Pm 0.594 0.685 0.919
Pm 0.004 0.007 0.823
N 0.740 0.000 0.000
Si 0.318 0.637 0.161
Pm 0.905 0.301 0.573
Pm 0.502 0.004 0.196
N 0.260 0.000 0.000

Properties
energy relative to the elements, uncorrected	-57.7	kJ/mol of atoms
calculated density	5.9	Mg/m³
symmetry	C2/m, No. 12
uncorrected energy	-112.1	eV per cell

***

Entry 20:
Below is a relaxed Pm2SiN3 crystal, with properties calculated at the PBE-GGA level.

Cell: 3.559 3.758 6.639 Å, 106.44 105.55 90.00°
Fractional positions:
Si 0.000 0.000 0.000
Pm 0.646 0.646 0.293
N 0.000 0.500 0.000
N 0.846 0.846 0.692
N 0.154 0.154 0.308
Pm 0.354 0.354 0.707

Properties
energy relative to the elements, uncorrected	-111.8	kJ/mol of atoms
calculated density	7.3	Mg/m³
energy relative to the lowest polymorph listed for this composition	135	meV/atom
symmetry	Immm, No. 71
uncorrected energy	-46.9	eV per cell

***

Entry 21:
Below is a relaxed Pm6Si2N crystal, with properties calculated at the PBE-GGA level.

Cell: 4.861 6.769 8.202 Å, 114.37 107.22 90.00°
Fractional positions:
Si 0.334 0.334 0.669
Si 0.666 0.666 0.331
Pm 0.843 0.085 0.686
Pm 0.157 0.399 0.314
Pm 0.157 0.915 0.314
Pm 0.500 0.767 0.000
Pm 0.843 0.601 0.686
Pm 0.500 0.233 0.000
N 0.000 0.000 0.000

Properties
energy relative to the elements, uncorrected	-33.0	kJ/mol of atoms
calculated density	6.7	Mg/m³
symmetry	Immm, No. 71
uncorrected energy	-50.8	eV per cell

***

Entry 22:
Below is a relaxed Pm7Si3N2 crystal, with properties calculated at the PBE-GGA level.

Cell: 4.826 4.826 12.924 Å, 100.76 100.76 90.00°
Fractional positions:
N 0.102 0.102 0.204
Pm 0.404 0.904 0.807
Pm 0.096 0.596 0.193
Si 0.500 0.500 0.000
Pm 0.904 0.404 0.807
Si 0.678 0.678 0.355
Pm 0.596 0.096 0.193
Pm 0.201 0.201 0.402
Si 0.322 0.322 0.645
Pm 0.799 0.799 0.598
Pm 0.000 0.000 0.000
N 0.898 0.898 0.796

Properties
energy relative to the elements, uncorrected	-76.6	kJ/mol of atoms
calculated density	6.4	Mg/m³
symmetry	I4/mmm, No. 139
uncorrected energy	-75.7	eV per cell

***

Entry 23:
Below is a relaxed Pm6SiN2 crystal, with properties calculated at the PBE-GGA level.

Cell: 6.550 6.550 6.174 Å, 90.00 90.00 120.00°
Fractional positions:
Pm 0.000 0.363 0.727
Pm 0.637 0.000 0.273
N 0.333 0.667 0.500
Pm 0.000 0.637 0.273
Si 0.000 0.000 0.000
Pm 0.363 0.363 0.273
N 0.667 0.333 0.500
Pm 0.637 0.637 0.727
Pm 0.363 0.000 0.727

Properties
energy relative to the elements, uncorrected	-66.8	kJ/mol of atoms
calculated density	6.7	Mg/m³
symmetry	P-31m, No. 162
uncorrected energy	-56.8	eV per cell